Compound: K2RbCaPd
Source: the Alexandria database
Functional: GGA-PBE
Structure: relaxed

a = 6.670 Å, b = 6.670 Å, c = 5.632 Å
α = 90.00°, β = 90.00°, γ = 90.00°
Sites, in units of the cell vectors:
K  0.000  0.500  0.000
K  0.500  0.000  0.000
Rb  0.000  0.000  0.500
Ca  0.500  0.500  0.500
Pd  0.500  0.500  0.000

calculated density = 2.06 g cm⁻³
energy of formation = -0.01 eV per atom
calculated total energy = -10.4 eV per cell